Record 1
SiIrPt3 PBE-GGA relaxed; distance to the lowest polymorph of the same formula = 743 meV per atom; formation energy without anion corrections = 1432 meV/atom
1.0
4.835 0.000 0.000
0.000 4.835 0.000
0.000 0.000 4.835
Si Ir Pt
1 1 3
direct
0.000 0.000 0.000
0.500 0.500 0.500
0.000 0.500 0.500
0.500 0.000 0.500
0.500 0.500 0.000

=====

Record 2
AgPbSe2 PBE-GGA relaxed; formation energy without anion corrections = 197 meV/atom
1.0
0.000 3.605 3.605
3.605 0.000 3.605
3.605 3.605 0.000
Ag Pb Se
1 1 2
direct
0.000 0.000 0.000
0.250 0.250 0.250
0.500 0.500 0.500
0.750 0.750 0.750

=====

Record 3
NaAc2Au4 PBE-GGA relaxed; distance to the lowest polymorph of the same formula = 178 meV per atom; ΔH_f (0 K) = -0.394 eV/atom
1.0
-2.524 2.524 8.046
2.524 -2.524 8.046
2.524 2.524 -8.046
Na Ac Au
1 2 4
direct
0.000 0.000 0.000
0.363 0.363 0.000
0.637 0.637 0.000
0.000 0.500 0.500
0.173 0.173 0.000
0.500 0.000 0.500
0.827 0.827 0.000

=====

Record 4
NiAg2Cl6 PBE-GGA relaxed; formation energy without anion corrections = -427 meV/atom
1.0
6.561 0.000 0.000
0.000 6.143 0.000
-6.554 0.000 10.740
Ni Ag Cl
2 4 12
direct
0.000 0.000 0.000
0.000 0.500 0.500
0.312 0.001 0.812
0.312 0.499 0.312
0.688 0.501 0.688
0.688 0.999 0.188
0.012 0.723 0.650
0.012 0.777 0.150
0.286 0.697 0.499
0.286 0.803 0.999
0.290 0.218 0.152
0.290 0.282 0.652
0.710 0.718 0.348
0.710 0.782 0.848
0.714 0.197 0.001
0.714 0.303 0.501
0.988 0.223 0.850
0.988 0.277 0.350

=====

Record 5
SrTlAg2 PBE-GGA relaxed; ΔH_f (0 K) = -0.117 eV/atom
1.0
4.910 0.000 0.000
0.000 4.910 0.000
0.000 0.000 4.385
Sr Tl Ag
1 1 2
direct
0.000 0.000 0.000
0.500 0.500 0.000
0.000 0.500 0.500
0.500 0.000 0.500

=====

Record 6
Sm4NiBi2 PBE-GGA relaxed; ΔH_f (0 K) = -0.534 eV/atom
1.0
-2.537 2.537 8.458
2.537 -2.537 8.458
2.537 2.537 -8.458
Sm Ni Bi
4 1 2
direct
0.000 0.500 0.500
0.170 0.170 0.000
0.500 0.000 0.500
0.830 0.830 0.000
0.000 0.000 0.000
0.361 0.361 0.000
0.639 0.639 0.000

=====

Record 7
LaRuPt PBE-GGA relaxed; ΔH_f (0 K) = -0.454 eV/atom
1.0
4.368 0.000 0.000
-2.184 3.782 0.000
0.000 0.000 4.162
La Ru Pt
1 1 1
direct
0.000 0.000 0.000
0.667 0.333 0.500
0.333 0.667 0.500

=====

Record 8
PmNiN PBE-GGA relaxed; distance to the lowest polymorph of the same formula = 138 meV per atom; formation energy without anion corrections = -437 meV/atom
1.0
3.650 0.000 0.000
-1.825 3.161 0.000
0.000 0.000 3.617
Pm Ni N
1 1 1
direct
0.000 0.000 0.000
0.333 0.667 0.500
0.667 0.333 0.500